[1]
Below is a relaxed structure of NpS2N2, with properties calculated at the GGA-PBE level.

Geometry as CIF:
```
data_NpS2N2
_chemical_formula_sum 'Np1 S2 N2'
_cell_length_a 3.398
_cell_length_b 3.398
_cell_length_c 10.474
_cell_angle_alpha 91.32
_cell_angle_beta 91.32
_cell_angle_gamma 89.94
_space_group_name_H-M_alt 'P 1'
_space_group_IT_number 1
_space_group_name_Hall 'P 1'
loop_
_atom_site_label
_atom_site_fract_x
_atom_site_fract_y
_atom_site_fract_z
_atom_site_occupancy
Np1 0.000 0.000 0.000 1
S1 0.490 0.490 0.859 1
S2 0.510 0.510 0.141 1
N1 0.014 0.014 0.447 1
N2 0.986 0.986 0.553 1
```

Computed properties:
* calculated density: 4.521 g cm⁻³
* DOS at the Fermi energy: 4.792 states/eV/f.u.
* formation energy (no corrections): -3.0 eV per formula unit

---

[2]
Below is a relaxed structure of Np3S3N, with properties calculated at the GGA-PBE level.

Geometry as CIF:
```
data_Np3S3N
_chemical_formula_sum 'Np12 S12 N4'
_cell_length_a 7.680
_cell_length_b 6.862
_cell_length_c 10.659
_cell_angle_alpha 90.00
_cell_angle_beta 99.47
_cell_angle_gamma 90.00
_space_group_name_H-M_alt 'P 1'
_space_group_IT_number 1
_space_group_name_Hall 'P 1'
loop_
_atom_site_label
_atom_site_fract_x
_atom_site_fract_y
_atom_site_fract_z
_atom_site_occupancy
Np1 0.071 0.063 0.358 1
Np2 0.071 0.437 0.858 1
Np3 0.250 0.614 0.511 1
Np4 0.250 0.886 0.011 1
Np5 0.393 0.078 0.662 1
Np6 0.393 0.422 0.162 1
Np7 0.607 0.578 0.838 1
Np8 0.607 0.922 0.338 1
Np9 0.750 0.114 0.989 1
Np10 0.750 0.386 0.489 1
Np11 0.929 0.563 0.142 1
Np12 0.929 0.937 0.642 1
S1 0.094 0.184 0.115 1
S2 0.094 0.316 0.615 1
S3 0.267 0.738 0.774 1
S4 0.267 0.762 0.274 1
S5 0.404 0.244 0.915 1
S6 0.404 0.256 0.415 1
S7 0.596 0.744 0.585 1
S8 0.596 0.756 0.085 1
S9 0.733 0.238 0.726 1
S10 0.733 0.262 0.226 1
S11 0.906 0.684 0.385 1
S12 0.906 0.816 0.885 1
N1 0.180 0.577 0.037 1
N2 0.180 0.923 0.537 1
N3 0.820 0.077 0.463 1
N4 0.820 0.423 0.963 1
```

Computed properties:
* calculated density: 9.846 g cm⁻³
* DOS at the Fermi energy: 25.624 states/eV/f.u.
* formation energy (no corrections): -8.8 eV per formula unit

---

[3]
Below is a relaxed structure of Np3S3N2, with properties calculated at the GGA-PBE level.

Geometry as CIF:
```
data_Np3S3N2
_chemical_formula_sum 'Np3 S3 N2'
_cell_length_a 10.418
_cell_length_b 10.418
_cell_length_c 10.418
_cell_angle_alpha 159.95
_cell_angle_beta 158.44
_cell_angle_gamma 29.61
_space_group_name_H-M_alt 'P 1'
_space_group_IT_number 1
_space_group_name_Hall 'P 1'
loop_
_atom_site_label
_atom_site_fract_x
_atom_site_fract_y
_atom_site_fract_z
_atom_site_occupancy
Np1 0.000 0.000 0.000 1
Np2 0.309 0.809 0.500 1
Np3 0.691 0.191 0.500 1
S1 0.119 0.619 0.500 1
S2 0.500 0.500 0.000 1
S3 0.881 0.381 0.500 1
N1 0.248 0.248 0.000 1
N2 0.752 0.752 0.000 1
```

Computed properties:
* calculated density: 9.742 g cm⁻³
* DOS at the Fermi energy: 19.319 states/eV/f.u.
* formation energy (no corrections): -10.0 eV per formula unit

---

[4]
Below is a relaxed structure of Np4S5N, with properties calculated at the GGA-PBE level.

Geometry as CIF:
```
data_Np4S5N
_chemical_formula_sum 'Np4 S5 N1'
_cell_length_a 8.583
_cell_length_b 8.583
_cell_length_c 7.392
_cell_angle_alpha 104.84
_cell_angle_beta 104.84
_cell_angle_gamma 25.84
_space_group_name_H-M_alt 'P 1'
_space_group_IT_number 1
_space_group_name_Hall 'P 1'
loop_
_atom_site_label
_atom_site_fract_x
_atom_site_fract_y
_atom_site_fract_z
_atom_site_occupancy
Np1 0.002 0.002 0.270 1
Np2 0.338 0.338 0.401 1
Np3 0.662 0.662 0.599 1
Np4 0.998 0.998 0.730 1
S1 0.161 0.161 0.841 1
S2 0.170 0.170 0.346 1
S3 0.500 0.500 0.000 1
S4 0.830 0.830 0.654 1
S5 0.839 0.839 0.159 1
N1 0.500 0.500 0.500 1
```

Computed properties:
* calculated density: 8.137 g cm⁻³
* DOS at the Fermi energy: 25.795 states/eV/f.u.
* formation energy (no corrections): -11.9 eV per formula unit

---

[5]
Below is a relaxed structure of Np2SN, with properties calculated at the GGA-PBE level.

Geometry as CIF:
```
data_Np2SN
_chemical_formula_sum 'Np2 S1 N1'
_cell_length_a 6.518
_cell_length_b 6.518
_cell_length_c 6.518
_cell_angle_alpha 32.24
_cell_angle_beta 32.24
_cell_angle_gamma 32.24
_space_group_name_H-M_alt 'P 1'
_space_group_IT_number 1
_space_group_name_Hall 'P 1'
loop_
_atom_site_label
_atom_site_fract_x
_atom_site_fract_y
_atom_site_fract_z
_atom_site_occupancy
Np1 0.237 0.237 0.237 1
Np2 0.763 0.763 0.763 1
S1 0.000 0.000 0.000 1
N1 0.500 0.500 0.500 1
```

Computed properties:
* calculated density: 12.332 g cm⁻³
* DOS at the Fermi energy: 9.698 states/eV/f.u.
* formation energy (no corrections): -4.8 eV per formula unit
* E above lowest polymorph: 0 kJ/mol of formula units

---

[6]
Below is a relaxed structure of Np2SN, with properties calculated at the GGA-PBE level.

Geometry as CIF:
```
data_Np2SN
_chemical_formula_sum 'Np2 S1 N1'
_cell_length_a 6.798
_cell_length_b 6.798
_cell_length_c 6.798
_cell_angle_alpha 30.35
_cell_angle_beta 30.35
_cell_angle_gamma 30.35
_space_group_name_H-M_alt 'P 1'
_space_group_IT_number 1
_space_group_name_Hall 'P 1'
loop_
_atom_site_label
_atom_site_fract_x
_atom_site_fract_y
_atom_site_fract_z
_atom_site_occupancy
Np1 0.000 0.000 0.000 1
Np2 0.149 0.149 0.149 1
S1 0.573 0.573 0.573 1
N1 0.745 0.745 0.745 1
```

Computed properties:
* calculated density: 12.152 g cm⁻³
* DOS at the Fermi energy: 7.737 states/eV/f.u.
* formation energy (no corrections): -3.9 eV per formula unit
* E above lowest polymorph: 93 kJ/mol of formula units

---

[7]
Below is a relaxed structure of Np2SN, with properties calculated at the GGA-PBE level.

Geometry as CIF:
```
data_Np2SN
_chemical_formula_sum 'Np2 S1 N1'
_cell_length_a 3.176
_cell_length_b 3.176
_cell_length_c 6.528
_cell_angle_alpha 90.00
_cell_angle_beta 90.00
_cell_angle_gamma 90.00
_space_group_name_H-M_alt 'P 1'
_space_group_IT_number 1
_space_group_name_Hall 'P 1'
loop_
_atom_site_label
_atom_site_fract_x
_atom_site_fract_y
_atom_site_fract_z
_atom_site_occupancy
Np1 0.000 0.000 0.219 1
Np2 0.000 0.000 0.781 1
S1 0.500 0.500 0.500 1
N1 0.500 0.500 0.000 1
```

Computed properties:
* calculated density: 13.112 g cm⁻³
* DOS at the Fermi energy: 7.237 states/eV/f.u.
* formation energy (no corrections): -2.8 eV per formula unit
* E above lowest polymorph: 195 kJ/mol of formula units

---

[8]
Below is a relaxed structure of Np4S3N, with properties calculated at the GGA-PBE level.

Geometry as CIF:
```
data_Np4S3N
_chemical_formula_sum 'Np4 S3 N1'
_cell_length_a 5.390
_cell_length_b 5.390
_cell_length_c 5.390
_cell_angle_alpha 90.00
_cell_angle_beta 90.00
_cell_angle_gamma 90.00
_space_group_name_H-M_alt 'P 1'
_space_group_IT_number 1
_space_group_name_Hall 'P 1'
loop_
_atom_site_label
_atom_site_fract_x
_atom_site_fract_y
_atom_site_fract_z
_atom_site_occupancy
Np1 0.000 0.000 0.000 1
Np2 0.000 0.500 0.500 1
Np3 0.500 0.000 0.500 1
Np4 0.500 0.500 0.000 1
S1 0.000 0.000 0.500 1
S2 0.000 0.500 0.000 1
S3 0.500 0.000 0.000 1
N1 0.500 0.500 0.500 1
```

Computed properties:
* calculated density: 11.221 g cm⁻³
* DOS at the Fermi energy: 21.668 states/eV/f.u.
* formation energy (no corrections): -9.0 eV per formula unit

---

| no. | calculated total energy (eV per atom) |
| --- | --- |
| 1 | -8.176 |
| 2 | -9.756 |
| 3 | -9.731 |
| 4 | -9.258 |
| 5 | -10.789 |
| 6 | -10.547 |
| 7 | -10.282 |
| 8 | -10.183 |